Density functional theory data (GGA-PBE) for Sr3GaSn2Hg6 after structural relaxation.

Summary:
V (Å³/atom): 29.0
E_form (eV/atom): -0.269
Uncorrected energy (eV/cell): -21.116

```
12
Lattice="6.444 0.000 0.000 -3.222 5.581 0.000 0.000 0.000 9.672" Properties=species:S:1:pos:R:3 pbc="T T T"
Hg -1.536 4.607 2.665
Hg 4.758 0.974 7.007
Hg 0.000 1.947 2.665
Hg 1.536 4.607 2.665
Hg 1.686 0.974 7.007
Hg 3.222 3.634 7.007
Ga 0.000 0.000 4.836
Sn 3.222 1.860 0.085
Sn 0.000 3.720 9.587
Sr 3.222 1.860 3.800
Sr 0.000 3.720 5.872
Sr 0.000 0.000 0.000
```